No. 1
BeNbPdAu | PBE | relaxed

Cell and atoms, written as POSCAR:
```
BeNbPdAu
1.0
0.000 3.110 3.110
3.110 0.000 3.110
3.110 3.110 0.000
Be Nb Pd Au
1 1 1 1
Cartesian
0.000 0.000 0.000
1.555 1.555 1.555
3.110 3.110 3.110
4.666 4.666 4.666
```

Output
total magnetization = 0.00 μB per cell
uncorrected energy = -5.64 eV per atom
distance to the lowest polymorph of the same formula = 0 meV per atom
SG = F-43m (216)

=====

No. 2
BeNbPdAu | PBE | relaxed

Cell and atoms, written as POSCAR:
```
BeNbPdAu
1.0
0.000 3.144 3.144
3.144 0.000 3.144
3.144 3.144 0.000
Be Nb Pd Au
1 1 1 1
Cartesian
0.000 0.000 0.000
3.144 3.144 3.144
4.716 4.716 4.716
1.572 1.572 1.572
```

Output
total magnetization = 0.00 μB per cell
uncorrected energy = -5.62 eV per atom
distance to the lowest polymorph of the same formula = 21 meV per atom
SG = F-43m (216)

=====

No. 3
BeNbPtAu | PBE | relaxed

Cell and atoms, written as POSCAR:
```
BeNbPtAu
1.0
0.000 3.126 3.126
3.126 0.000 3.126
3.126 3.126 0.000
Be Nb Pt Au
1 1 1 1
Cartesian
0.000 0.000 0.000
4.689 4.689 4.689
1.563 1.563 1.563
3.126 3.126 3.126
```

Output
total magnetization = 0.00 μB per cell
uncorrected energy = -5.88 eV per atom
distance to the lowest polymorph of the same formula = 73 meV per atom
SG = F-43m (216)

=====

No. 4
BeNbPtAu | PBE | relaxed

Cell and atoms, written as POSCAR:
```
BeNbPtAu
1.0
0.000 3.157 3.157
3.157 0.000 3.157
3.157 3.157 0.000
Be Nb Pt Au
1 1 1 1
Cartesian
0.000 0.000 0.000
3.157 3.157 3.157
1.579 1.579 1.579
4.736 4.736 4.736
```

Output
total magnetization = 0.00 μB per cell
uncorrected energy = -5.93 eV per atom
distance to the lowest polymorph of the same formula = 19 meV per atom
SG = F-43m (216)

=====

No. 5
BeNbPtAu | PBE | relaxed

Cell and atoms, written as POSCAR:
```
BeNbPtAu
1.0
0.000 3.130 3.130
3.130 0.000 3.130
3.130 3.130 0.000
Be Nb Pt Au
1 1 1 1
Cartesian
0.000 0.000 0.000
4.695 4.695 4.695
3.130 3.130 3.130
1.565 1.565 1.565
```

Output
total magnetization = 0.00 μB per cell
uncorrected energy = -5.95 eV per atom
distance to the lowest polymorph of the same formula = 0 meV per atom
SG = F-43m (216)

=====

No. 6
NdSmBeSi2Au | PBE | relaxed

Cell and atoms, written as POSCAR:
```
NdSmBeSi2Au
1.0
4.126 0.000 0.000
-2.063 3.573 0.000
0.000 0.000 8.521
Nd Sm Be Si Au
1 1 1 2 1
Cartesian
0.000 0.000 0.000
0.000 0.000 4.122
2.063 1.191 2.081
0.000 2.382 2.082
2.063 1.191 6.287
0.000 2.382 6.294
```

Output
total magnetization = 0.00 μB per cell
uncorrected energy = -5.21 eV per atom
SG = P3m1 (156)

=====

No. 7
BeNiAu | PBE | relaxed

Cell and atoms, written as POSCAR:
```
BeNiAu
1.0
-1.393 1.393 4.636
1.393 -1.393 4.636
1.393 1.393 -4.636
Be Ni Au
1 1 1
Cartesian
0.000 0.000 0.000
0.000 0.000 5.756
0.000 0.000 3.034
```

Output
total magnetization = 0.00 μB per cell
uncorrected energy = -4.36 eV per atom
distance to the lowest polymorph of the same formula = 29 meV per atom
SG = I4mm (107)

=====

No. 8
BeNiAu | PBE | relaxed

Cell and atoms, written as POSCAR:
```
BeNiAu
1.0
0.000 2.693 2.693
2.693 0.000 2.693
2.693 2.693 0.000
Be Ni Au
1 1 1
Cartesian
0.000 0.000 0.000
1.347 1.347 1.347
4.040 4.040 4.040
```

Output
total magnetization = 0.00 μB per cell
uncorrected energy = -4.31 eV per atom
distance to the lowest polymorph of the same formula = 86 meV per atom
SG = F-43m (216)

=====

No. 9
Be2NiAu | PBE | relaxed

Cell and atoms, written as POSCAR:
```
Be2NiAu
1.0
0.000 2.857 2.857
2.857 0.000 2.857
2.857 2.857 0.000
Be Ni Au
2 1 1
Cartesian
0.000 0.000 0.000
1.428 1.428 1.428
2.857 2.857 2.857
4.285 4.285 4.285
```

Output
total magnetization = 0.00 μB per cell
uncorrected energy = -4.08 eV per atom
SG = F-43m (216)

=====

No. 10
BeNiAu2 | PBE | relaxed

Cell and atoms, written as POSCAR:
```
BeNiAu2
1.0
0.000 3.058 3.058
3.058 0.000 3.058
3.058 3.058 0.000
Be Ni Au
1 1 2
Cartesian
0.000 0.000 0.000
1.529 1.529 1.529
3.058 3.058 3.058
4.588 4.588 4.588
```

Output
total magnetization = 0.00 μB per cell
uncorrected energy = -3.84 eV per atom
SG = F-43m (216)

=====

No. 11
BeNiAu | PBE | relaxed

Cell and atoms, written as POSCAR:
```
BeNiAu
1.0
2.784 0.000 0.000
0.000 2.784 0.000
0.000 0.000 9.368
Be Ni Au
2 2 2
Cartesian
0.000 0.000 0.000
1.392 1.392 4.684
0.000 0.000 3.465
0.000 0.000 5.903
1.392 1.392 1.547
1.392 1.392 7.820
```

Output
total magnetization = 0.00 μB per cell
uncorrected energy = -4.35 eV per atom
distance to the lowest polymorph of the same formula = 42 meV per atom
SG = P4/mmm (123)

=====

No. 12
BeNiAu | PBE | relaxed

Cell and atoms, written as POSCAR:
```
BeNiAu
1.0
2.802 0.000 0.000
0.000 2.802 0.000
0.000 0.000 9.247
Be Ni Au
2 2 2
Cartesian
0.701 0.701 1.821
2.102 2.102 7.426
0.701 0.701 8.505
2.102 2.102 0.742
0.701 0.701 5.802
2.102 2.102 3.445
```

Output
total magnetization = 0.00 μB per cell
uncorrected energy = -4.39 eV per atom
distance to the lowest polymorph of the same formula = 0 meV per atom
SG = P4/nmm (129)

=====

No. 13
BeNiPbAu | PBE | relaxed

Cell and atoms, written as POSCAR:
```
BeNiPbAu
1.0
0.000 3.170 3.170
3.170 0.000 3.170
3.170 3.170 0.000
Be Ni Pb Au
1 1 1 1
Cartesian
0.000 0.000 0.000
3.170 3.170 3.170
1.585 1.585 1.585
4.756 4.756 4.756
```

Output
total magnetization = 0.00 μB per cell
uncorrected energy = -3.77 eV per atom
SG = F-43m (216)

=====

No. 14
BeNiSbAu | PBE | relaxed

Cell and atoms, written as POSCAR:
```
BeNiSbAu
1.0
0.000 3.142 3.142
3.142 0.000 3.142
3.142 3.142 0.000
Be Ni Sb Au
1 1 1 1
Cartesian
0.000 0.000 0.000
3.142 3.142 3.142
4.712 4.712 4.712
1.571 1.571 1.571
```

Output
total magnetization = 0.00 μB per cell
uncorrected energy = -3.94 eV per atom
distance to the lowest polymorph of the same formula = 0 meV per atom
SG = F-43m (216)

=====

No. 15
BeNiSbAu | PBE | relaxed

Cell and atoms, written as POSCAR:
```
BeNiSbAu
1.0
0.000 3.154 3.154
3.154 0.000 3.154
3.154 3.154 0.000
Be Ni Sb Au
1 1 1 1
Cartesian
0.000 0.000 0.000
1.577 1.577 1.577
3.154 3.154 3.154
4.731 4.731 4.731
```

Output
total magnetization = 0.00 μB per cell
uncorrected energy = -3.89 eV per atom
distance to the lowest polymorph of the same formula = 51 meV per atom
SG = F-43m (216)

=====

No. 16
TaBeNiAu | PBE | relaxed

Cell and atoms, written as POSCAR:
```
TaBeNiAu
1.0
0.000 3.058 3.058
3.058 0.000 3.058
3.058 3.058 0.000
Ta Be Ni Au
1 1 1 1
Cartesian
0.000 0.000 0.000
3.058 3.058 3.058
4.587 4.587 4.587
1.529 1.529 1.529
```

Output
total magnetization = 0.00 μB per cell
uncorrected energy = -6.08 eV per atom
distance to the lowest polymorph of the same formula = 109 meV per atom
SG = F-43m (216)

=====

No. 17
TaBeNiAu | PBE | relaxed

Cell and atoms, written as POSCAR:
```
TaBeNiAu
1.0
0.000 3.043 3.043
3.043 0.000 3.043
3.043 3.043 0.000
Ta Be Ni Au
1 1 1 1
Cartesian
0.000 0.000 0.000
1.522 1.522 1.522
3.043 3.043 3.043
4.565 4.565 4.565
```

Output
total magnetization = 0.00 μB per cell
uncorrected energy = -6.01 eV per atom
distance to the lowest polymorph of the same formula = 184 meV per atom
SG = F-43m (216)

=====

No. 18
TaBeNiAu | PBE | relaxed

Cell and atoms, written as POSCAR:
```
TaBeNiAu
1.0
0.000 3.001 3.001
3.001 0.000 3.001
3.001 3.001 0.000
Ta Be Ni Au
1 1 1 1
Cartesian
0.000 0.000 0.000
1.500 1.500 1.500
4.501 4.501 4.501
3.001 3.001 3.001
```

Output
total magnetization = 0.00 μB per cell
uncorrected energy = -6.19 eV per atom
distance to the lowest polymorph of the same formula = 0 meV per atom
SG = F-43m (216)

=====

No. 19
BeTlNiAu | PBE | relaxed

Cell and atoms, written as POSCAR:
```
BeTlNiAu
1.0
0.000 3.113 3.113
3.113 0.000 3.113
3.113 3.113 0.000
Be Tl Ni Au
1 1 1 1
Cartesian
0.000 0.000 0.000
1.557 1.557 1.557
3.113 3.113 3.113
4.670 4.670 4.670
```

Output
total magnetization = 0.00 μB per cell
uncorrected energy = -3.47 eV per atom
SG = F-43m (216)

=====

No. 20
Be2Au2O5 | PBE | relaxed

Cell and atoms, written as POSCAR:
```
Be2Au2O5
1.0
3.700 0.000 0.000
0.000 3.700 0.000
0.000 0.000 8.426
Be Au O
2 2 5
Cartesian
0.000 0.000 0.000
0.000 0.000 4.213
1.850 1.850 1.840
1.850 1.850 6.586
0.000 1.850 1.168
0.000 1.850 7.258
1.850 0.000 1.168
1.850 0.000 7.258
1.850 1.850 4.213
```

Output
uncorrected energy = -4.07 eV per atom
distance to the lowest polymorph of the same formula = 896 meV per atom
SG = P4/mmm (123)